# RbVGa2

A relaxed RbVGa2 crystal (PBE, Alexandria).

a = 5.1449 Å, b = 5.1449 Å, c = 5.1449 Å
α = 60.00°, β = 60.00°, γ = 60.00°
Fractional coordinates of all 4 atoms:
Ga 0.2500 0.2500 0.2500
Ga 0.7500 0.7500 0.7500
Rb 0.5000 0.5000 0.5000
V 0.0000 0.0000 0.0000

Calculated formation energy: 729 meV/atom
Offset from the most stable computed form: 224 meV/atom
SG: Fm-3m (225)
Total magnetization: 3.40 μB/cell

---

# MgTe2HN

A relaxed MgTe2HN crystal (PBE, Alexandria).

a = 5.6080 Å, b = 5.6080 Å, c = 3.8064 Å
α = 90.00°, β = 90.00°, γ = 90.00°
Fractional coordinates of all 5 atoms:
H 0.5000 0.5000 0.5000
Mg 0.0000 0.0000 0.0000
Te 0.5000 0.0000 0.0000
Te 0.0000 0.5000 0.0000
N 0.0000 0.0000 0.5000

Offset from the most stable computed form: 448 meV/atom
SG: P4/mmm (123)
Total magnetization: 0.61 μB/cell

---

Q: What is the total magnetization in the first record?
A: 3.40 μB/cell

---

Repeat the first record exactly.
# RbVGa2

A relaxed RbVGa2 crystal (PBE, Alexandria).

a = 5.1449 Å, b = 5.1449 Å, c = 5.1449 Å
α = 60.00°, β = 60.00°, γ = 60.00°
Fractional coordinates of all 4 atoms:
Ga 0.2500 0.2500 0.2500
Ga 0.7500 0.7500 0.7500
Rb 0.5000 0.5000 0.5000
V 0.0000 0.0000 0.0000

Calculated formation energy: 729 meV/atom
Offset from the most stable computed form: 224 meV/atom
SG: Fm-3m (225)
Total magnetization: 3.40 μB/cell

---

Q: Which value of total magnetization does entry 2 give?
A: 0.61 μB/cell